The following is a DFT calculation (PBE) of an optimized crystal structure of Pr4MgAgHg2.

Cell lengths 5.4417, 5.4417, 26.7340 Å; angles 90.00, 90.00, 120.00 degrees
Last column: nearest neighbours and their distance in Å.
Space group R-3m (No. 166, hexagonal axes)
One atom of each set of equivalent atoms:
1 Pr 0.0000 0.0000 0.1198 [6 per cell]  1 Ag 3.20, 4 Hg 3.23-3.26, 3 Mg 3.38
2 Pr 0.0000 0.0000 0.3711 [6 per cell]  3 Ag 3.30, 1 Mg 3.45, 4 Hg 3.45
3 Mg 0.0000 0.0000 0.5000 [3 per cell]  8 Pr 3.38-3.45, 6 Hg 3.73
4 Ag 0.0000 0.0000 0.0000 [3 per cell]  8 Pr 3.20-3.30
5 Hg 0.0000 0.0000 0.2420 [6 per cell]  8 Pr 3.23-3.45

D(E_F), states/eV/cell: 24.810
Formation energy, eV/atom: -0.33
Magnetization, μB per formula unit: 0.74